[1]
## InAgS2 (PBE)

Data for a geometry-optimized InAgS2 structure.

Calculated values
- magnetization (μB/atom) = 0.000
- crystal system = trigonal
- Fermi-level density of states (states/eV/f.u.) = 0.7
- VASP energy (eV for the cell shown) = -15.2

extended XYZ file:
```
4
Lattice="1.909 1.102 6.432 -1.909 1.102 6.432 0.000 -2.205 6.432" Properties=species:S:1:pos:R:3 pbc="T T T"
In 0.000 0.000 0.000
Ag 0.000 0.000 9.648
S 0.000 0.000 4.923
S 0.000 0.000 14.374
```


[2]
## Rb6VCl12 (PBE)

Data for a geometry-optimized Rb6VCl12 structure.

Calculated values
- magnetization (μB/atom) = 0.078
- crystal system = trigonal
- Fermi-level density of states (states/eV/f.u.) = 21.9
- VASP energy (eV for the cell shown) = -64.8

extended XYZ file:
```
19
Lattice="6.295 3.634 5.780 -6.295 3.634 5.780 0.000 -7.269 5.780" Properties=species:S:1:pos:R:3 pbc="T T T"
Rb -2.898 -3.484 7.285
Rb -4.467 0.768 10.054
Rb -1.568 4.252 7.285
Rb 1.568 -4.252 10.054
Rb 4.467 -0.768 7.285
Rb 2.898 3.484 10.054
V 0.000 0.000 8.670
Cl -1.471 -2.794 4.351
Cl -1.684 2.671 4.351
Cl -1.733 0.703 7.359
Cl 0.258 -1.853 7.359
Cl -1.475 -1.150 9.980
Cl -3.155 -0.123 12.988
Cl 3.155 0.123 4.351
Cl 1.475 1.150 7.359
Cl -0.258 1.853 9.980
Cl 1.733 -0.703 9.980
Cl 1.684 -2.671 12.988
Cl 1.471 2.794 12.988
```


[3]
## SrTmGa2 (PBE)

Data for a geometry-optimized SrTmGa2 structure.

Calculated values
- magnetization (μB/atom) = 0.000
- crystal system = trigonal
- Fermi-level density of states (states/eV/f.u.) = 3.2
- calculated formation energy (eV per atom) = -0.234

extended XYZ file:
```
4
Lattice="1.875 1.083 9.136 -1.875 1.083 9.136 0.000 -2.165 9.136" Properties=species:S:1:pos:R:3 pbc="T T T"
Sr 0.000 0.000 0.000
Tm 0.000 0.000 13.704
Ga 0.000 0.000 6.685
Ga 0.000 0.000 20.723
```


Question: Which formula does entry 1 have?
Answer: InAgS2


Question: Which of these has the lowest Fermi-level density of states?
Answer: InAgS2


Question: What is the Fermi-level density of states in the second record?
Answer: 21.9 states/eV/f.u.


Copy entry 1 word for word.
## InAgS2 (PBE)

Data for a geometry-optimized InAgS2 structure.

Calculated values
- magnetization (μB/atom) = 0.000
- crystal system = trigonal
- Fermi-level density of states (states/eV/f.u.) = 0.7
- VASP energy (eV for the cell shown) = -15.2

extended XYZ file:
```
4
Lattice="1.909 1.102 6.432 -1.909 1.102 6.432 0.000 -2.205 6.432" Properties=species:S:1:pos:R:3 pbc="T T T"
In 0.000 0.000 0.000
Ag 0.000 0.000 9.648
S 0.000 0.000 4.923
S 0.000 0.000 14.374
```